A relaxed structure of Ce2Ho4C, computed with PBE-GGA.

Lattice parameters (Å, degrees): 4.805 4.805 17.797 90.00 90.00 90.00
Space group I4/mmm (No. 139)
Symmetry-distinct sites (fractional):
Ce 0.000 0.000 0.184 x4
Ho 0.000 0.000 0.366 x4
Ho 0.000 0.500 0.000 x4
C 0.000 0.000 0.500 x2

For the total energy, the calculation gives -0.397 Ry per atom. The formation energy from the elements comes out at 0.2280 eV per atom.